1.
Tl2CdCu (PBE, optimized geometry); offset from the most stable computed form = 0.096 eV per atom; Fermi-level density of states = 1.5 states/eV per cell; formation enthalpy at 0 K = 0.235 eV per atom; total moment = 0.00 μB/f.u.
1.0
3.9797 0.0000 0.0000
0.0000 4.1264 0.0000
-1.1918 0.0000 6.0346
Tl Cd Cu
2 1 1
Cartesian
0.1307 0.0000 1.6266 Tl
2.6572 0.0000 4.4080 Tl
1.9899 2.0632 0.0000 Cd
1.3939 2.0632 3.0173 Cu

2.
MnSi2Au (PBE, optimized geometry); offset from the most stable computed form = 0.150 eV per atom; Fermi-level density of states = 2.2 states/eV per cell; ΔE_f (raw) = 0.029 eV per formula unit; total moment = 0.32 μB/f.u.
1.0
3.2062 0.0000 0.0000
0.0000 3.3282 0.0000
0.0000 0.0000 5.2202
Mn Si Au
1 2 1
Cartesian
0.0000 0.0000 0.0000 Mn
0.0000 0.0000 2.2762 Si
1.6031 1.6641 0.7897 Si
1.6031 1.6641 3.4225 Au

3.
RbSmSeS (PBE, optimized geometry); Fermi-level density of states = 0.0 states/eV per cell; ΔE_f (raw) = -7.030 eV per formula unit; total moment = 0.00 μB/f.u.
1.0
2.1129 1.2199 8.0113
-2.1129 1.2199 8.0113
0.0000 -2.4397 8.0113
Rb Sm Se S
1 1 1 1
Cartesian
0.0000 0.0000 0.0000 Rb
0.0000 0.0000 3.9545 Sm
0.0000 0.0000 13.6322 Se
0.0000 0.0000 18.5066 S